Here is a crystal of ZnH2Se2O8 relaxed with PBEsol from Alexandria. Energies are from meta-GGA SCAN.

abc: 5.076 8.594 8.370
angles: 90.00 118.64 90.00
Element x y z (fractional)
Zn1 0.000 0.000 0.000
Zn2 0.000 0.500 0.500
H1 0.445 0.015 0.659
H2 0.445 0.485 0.159
H3 0.555 0.515 0.841
H4 0.555 0.985 0.341
Se1 0.334 0.683 0.293
Se2 0.334 0.817 0.793
Se3 0.666 0.183 0.207
Se4 0.666 0.317 0.707
O1 0.038 0.642 0.317
O2 0.038 0.858 0.817
O3 0.309 0.583 0.108
O4 0.309 0.917 0.608
O5 0.315 0.631 0.730
O6 0.315 0.869 0.230
O7 0.343 0.146 0.025
O8 0.343 0.354 0.525
O9 0.657 0.646 0.475
O10 0.657 0.854 0.975
O11 0.685 0.131 0.770
O12 0.685 0.369 0.270
O13 0.691 0.083 0.392
O14 0.691 0.417 0.892
O15 0.962 0.142 0.183
O16 0.962 0.358 0.683

Properties
VASP energy ... -9.395 eV per atom
SG ... No. 14
Crystal system ... monoclinic
M_tot ... 0.00 μB per formula unit